# 1
La2CdI | PBE | relaxed

It has space group I-42d (No. 122), with a = 5.064 Å, b = 5.064 Å, c = 22.810 Å, α = 90.00°, β = 90.00° and γ = 90.00°. Symmetry generates all atoms from La at (0.232, 0.250, 0.125), Cd at (0.000, 0.000, 0.500) and I at (0.000, 0.000, 0.000).

The calculation puts the raw formation energy at -3.7 kcal/mol of atoms. For the polymorph energy (0 for the lowest one), the calculation gives 1.77 eV per formula unit.

***

# 2
La2Cd2I | PBE | relaxed

It has space group P4/mbm (No. 127), with a = 8.611 Å, b = 8.611 Å, c = 4.555 Å, α = 90.00°, β = 90.00° and γ = 90.00°. Symmetry generates all atoms from La at (0.162, 0.338, 0.000), Cd at (0.131, 0.631, 0.500) and I at (0.000, 0.000, 0.000).

The calculation puts the raw formation energy at -10.5 kcal/mol of atoms. For the polymorph energy (0 for the lowest one), the calculation gives 0.00 eV per formula unit.

***

# 3
LaCd2I | PBE | relaxed

It has space group Fm-3m (No. 225), with a = 7.927 Å, b = 7.927 Å, c = 7.927 Å, α = 90.00°, β = 90.00° and γ = 90.00°. Symmetry generates all atoms from La at (0.000, 0.000, 0.000), Cd at (0.250, 0.250, 0.250) and I at (0.000, 0.000, 0.500).

The calculation puts the raw formation energy at -2.1 kcal/mol of atoms. For the polymorph energy (0 for the lowest one), the calculation gives 0.70 eV per formula unit.

***

# 4
La2CdI | PBE | relaxed

It has space group R-3m (No. 166, hexagonal axes), with a = 3.7527 Å, b = 3.7527 Å, c = 35.7017 Å, α = 90.00°, β = 90.00° and γ = 120.00°. Symmetry generates all atoms from La at (0.0000, 0.0000, 0.0946), Cd at (0.0000, 0.0000, 0.0000) and I at (0.0000, 0.0000, 0.5000).

The calculation puts the raw formation energy at -5.3 kcal/mol of atoms. For the polymorph energy (0 for the lowest one), the calculation gives 1.49 eV per formula unit.

***

# 5
La2CdI2N2 | PBE | relaxed

It has space group C2/m (No. 12), with a = 12.295 Å, b = 4.116 Å, c = 8.722 Å, α = 90.00°, β = 122.25° and γ = 90.00°. Symmetry generates all atoms from La at (0.201, 0.000, 0.299), Cd at (0.000, 0.000, 0.500), I at (0.081, 0.500, 0.868) and N at (0.191, 0.000, 0.564).

The calculation puts the raw formation energy at -27.1 kcal/mol of atoms.

***

# 6
LaNdCdI | PBE | relaxed

It has space group F-43m (No. 216), with a = 7.885 Å, b = 7.885 Å, c = 7.885 Å, α = 90.00°, β = 90.00° and γ = 90.00°. Symmetry generates all atoms from La at (0.000, 0.000, 0.000), Nd at (0.000, 0.000, 0.500), Cd at (0.250, 0.250, 0.250) and I at (0.250, 0.250, 0.750).

The calculation puts the raw formation energy at -10.5 kcal/mol of atoms.

***

# 7
LaCdI2O | PBE | relaxed

It has space group P4/mmm (No. 123), with a = 6.059 Å, b = 6.059 Å, c = 4.055 Å, α = 90.00°, β = 90.00° and γ = 90.00°. Symmetry generates all atoms from La at (0.000, 0.000, 0.000), Cd at (0.500, 0.500, 0.500), I at (0.000, 0.500, 0.500) and O at (0.500, 0.500, 0.000).

The calculation puts the raw formation energy at -16.9 kcal/mol of atoms. For the polymorph energy (0 for the lowest one), the calculation gives 2.91 eV per formula unit.

***

# 8
LaCdI2O | PBE | relaxed

It has space group P4/mmm (No. 123), with a = 6.576 Å, b = 6.576 Å, c = 4.312 Å, α = 90.00°, β = 90.00° and γ = 90.00°. Symmetry generates all atoms from La at (0.000, 0.000, 0.000), Cd at (0.500, 0.500, 0.500), I at (0.000, 0.500, 0.000) and O at (0.000, 0.000, 0.500).

The calculation puts the raw formation energy at -30.3 kcal/mol of atoms. For the polymorph energy (0 for the lowest one), the calculation gives 0.00 eV per formula unit.

***

# 9
La4CdPI2 | PBE | relaxed

It has space group P2/m (No. 10), with a = 7.859 Å, b = 4.328 Å, c = 8.163 Å, α = 90.00°, β = 107.21° and γ = 90.00°. Symmetry generates all atoms from La at (0.213, 0.000, 0.204), La at (0.238, 0.500, 0.780), Cd at (0.500, 0.000, 0.000), P at (0.000, 0.500, 0.000), I at (0.000, 0.000, 0.500) and I at (0.500, 0.500, 0.500).

The calculation puts the raw formation energy at -22.8 kcal/mol of atoms.

***

# 10
La6CdPt2I3 | PBE | relaxed

It has space group C2/m (No. 12), with a = 7.668 Å, b = 13.192 Å, c = 8.479 Å, α = 90.00°, β = 107.55° and γ = 90.00°. Symmetry generates all atoms from La at (0.204, 0.000, 0.199), La at (0.249, 0.181, 0.794), Cd at (0.000, 0.500, 0.000), Pt at (0.000, 0.169, 0.000), I at (0.000, 0.000, 0.500) and I at (0.000, 0.344, 0.500).

The calculation puts the raw formation energy at -22.6 kcal/mol of atoms.

***

# 11
Rb2LaCdI6 | PBE | relaxed

It has space group I4/mmm (No. 139), with a = 8.974 Å, b = 8.974 Å, c = 12.667 Å, α = 90.00°, β = 90.00° and γ = 90.00°. Symmetry generates all atoms from Rb at (0.000, 0.500, 0.250), La at (0.000, 0.000, 0.000), Cd at (0.000, 0.000, 0.500), I at (0.000, 0.000, 0.249) and I at (0.249, 0.249, 0.000).

The calculation puts the raw formation energy at -27.1 kcal/mol of atoms.

***

# 12
LaCd2RhI | PBE | relaxed

It has space group P4/mmm (No. 123), with a = 5.306 Å, b = 5.306 Å, c = 5.318 Å, α = 90.00°, β = 90.00° and γ = 90.00°. Symmetry generates all atoms from La at (0.000, 0.000, 0.000), Cd at (0.000, 0.500, 0.500), Rh at (0.000, 0.000, 0.500) and I at (0.500, 0.500, 0.000).

The calculation puts the raw formation energy at -12.8 kcal/mol of atoms.

***

# 13
LaCdTe2I | PBE | relaxed

It has space group P4/mmm (No. 123), with a = 6.231 Å, b = 6.231 Å, c = 6.210 Å, α = 90.00°, β = 90.00° and γ = 90.00°. Symmetry generates all atoms from La at (0.000, 0.000, 0.000), Cd at (0.500, 0.500, 0.500), Te at (0.000, 0.500, 0.000) and I at (0.000, 0.000, 0.500).

The calculation puts the raw formation energy at -9.6 kcal/mol of atoms. For the polymorph energy (0 for the lowest one), the calculation gives 0.00 eV per formula unit.

***

# 14
LaCdTe2I | PBE | relaxed

It has space group P4/mmm (No. 123), with a = 5.670 Å, b = 5.670 Å, c = 5.626 Å, α = 90.00°, β = 90.00° and γ = 90.00°. Symmetry generates all atoms from La at (0.000, 0.000, 0.000), Cd at (0.500, 0.500, 0.500), Te at (0.000, 0.500, 0.500) and I at (0.500, 0.500, 0.000).

The calculation puts the raw formation energy at -9.6 kcal/mol of atoms. For the polymorph energy (0 for the lowest one), the calculation gives 0.02 eV per formula unit.

***

# 15
LaCdTeI2 | PBE | relaxed

It has space group P4/mmm (No. 123), with a = 6.246 Å, b = 6.246 Å, c = 6.339 Å, α = 90.00°, β = 90.00° and γ = 90.00°. Symmetry generates all atoms from La at (0.000, 0.000, 0.000), Cd at (0.500, 0.500, 0.500), Te at (0.000, 0.000, 0.500) and I at (0.000, 0.500, 0.000).

The calculation puts the raw formation energy at -16.4 kcal/mol of atoms.

***

# 16
LaTiCdI2 | PBE | relaxed

It has space group P4/mmm (No. 123), with a = 5.895 Å, b = 5.895 Å, c = 5.532 Å, α = 90.00°, β = 90.00° and γ = 90.00°. Symmetry generates all atoms from La at (0.000, 0.000, 0.000), Ti at (0.500, 0.500, 0.000), Cd at (0.500, 0.500, 0.500) and I at (0.000, 0.500, 0.500).

The calculation puts the raw formation energy at 11.0 kcal/mol of atoms.

***

# 17
LaZr2CdI | PBE | relaxed

It has space group P4/mmm (No. 123), with a = 5.325 Å, b = 5.325 Å, c = 5.663 Å, α = 90.00°, β = 90.00° and γ = 90.00°. Symmetry generates all atoms from La at (0.000, 0.000, 0.000), Zr at (0.000, 0.500, 0.500), Cd at (0.500, 0.500, 0.000) and I at (0.500, 0.500, 0.500).

The calculation puts the raw formation energy at 14.8 kcal/mol of atoms.

***

# 18
Li2Cd2I7 | PBE | relaxed

It has space group C2/m (No. 12), with a = 11.733 Å, b = 12.075 Å, c = 7.508 Å, α = 90.00°, β = 117.18° and γ = 90.00°. Symmetry generates all atoms from Li at (0.000, 0.183, 0.000), Cd at (0.207, 0.500, 0.397), I at (0.000, 0.500, 0.500), I at (0.037, 0.000, 0.268) and I at (0.222, 0.299, 0.220).

The calculation puts the raw formation energy at -14.6 kcal/mol of atoms.

***

# 19
LiCd2I2 | PBE | relaxed

It has space group I4/mmm (No. 139), with a = 4.077 Å, b = 4.077 Å, c = 19.162 Å, α = 90.00°, β = 90.00° and γ = 90.00°. Symmetry generates all atoms from Li at (0.000, 0.000, 0.000), Cd at (0.000, 0.500, 0.250) and I at (0.000, 0.000, 0.405).

The calculation puts the raw formation energy at -8.2 kcal/mol of atoms.

***

# 20
Li3CdI | PBE | relaxed

It has space group Pm-3m (No. 221), with a = 5.251 Å, b = 5.251 Å, c = 5.251 Å, α = 90.00°, β = 90.00° and γ = 90.00°. Symmetry generates all atoms from Li at (0.000, 0.000, 0.500), Cd at (0.500, 0.500, 0.500) and I at (0.000, 0.000, 0.000).

The calculation puts the raw formation energy at -4.4 kcal/mol of atoms. For the polymorph energy (0 for the lowest one), the calculation gives 0.00 eV per formula unit.